Ho2Pt: relaxed, PBE-GGA.

a = 8.6252 Å, b = 8.6252 Å, c = 8.6252 Å
α = 60.00°, β = 60.00°, γ = 60.00°
Element x y z (fractional)
Ho (0.0000, 0.0000, 0.0000)
Ho (0.0000, 0.0000, 0.5000)
Ho (0.0000, 0.5000, 0.0000)
Ho (0.5000, 0.0000, 0.0000)
Pt (0.1250, 0.1250, 0.1250)
Pt (0.8750, 0.8750, 0.8750)

DFT formation energy in eV per atom: 0.479


HoPt: relaxed, PBE-GGA.

a = 3.8397 Å, b = 3.8397 Å, c = 10.6594 Å
α = 90.00°, β = 90.00°, γ = 120.00°
Element x y z (fractional)
Ho (0.0000, 0.0000, 0.0000)
Ho (0.3333, 0.6667, 0.6667)
Ho (0.6667, 0.3333, 0.3333)
Pt (0.0000, 0.0000, 0.5000)
Pt (0.3333, 0.6667, 0.1667)
Pt (0.6667, 0.3333, 0.8333)

DFT formation energy in eV per atom: -1.101


Ho2Pt: relaxed, PBE-GGA.

a = 5.8223 Å, b = 5.8223 Å, c = 5.8223 Å
α = 60.00°, β = 60.00°, γ = 60.00°
Element x y z (fractional)
Ho (0.0000, 0.0000, 0.0000)
Ho (0.0000, 0.0000, 0.5000)
Ho (0.0000, 0.5000, 0.0000)
Ho (0.5000, 0.0000, 0.0000)
Pt (0.3750, 0.3750, 0.3750)
Pt (0.6250, 0.6250, 0.6250)

DFT formation energy in eV per atom: 0.286


RbHoPt: relaxed, PBE-GGA.

a = 7.1667 Å, b = 7.1667 Å, c = 7.1667 Å
α = 90.00°, β = 90.00°, γ = 90.00°
Element x y z (fractional)
Rb (0.0000, 0.0000, 0.0000)
Rb (0.0000, 0.5000, 0.5000)
Rb (0.5000, 0.0000, 0.5000)
Rb (0.5000, 0.5000, 0.0000)
Ho (0.0000, 0.0000, 0.5000)
Ho (0.0000, 0.5000, 0.0000)
Ho (0.5000, 0.0000, 0.0000)
Ho (0.5000, 0.5000, 0.5000)
Pt (0.2500, 0.2500, 0.7500)
Pt (0.2500, 0.7500, 0.2500)
Pt (0.7500, 0.2500, 0.2500)
Pt (0.7500, 0.7500, 0.7500)


RbHoPtS3: relaxed, PBE-GGA.

a = 8.0584 Å, b = 8.0584 Å, c = 10.0519 Å
α = 90.00°, β = 90.00°, γ = 151.77°
Element x y z (fractional)
Rb (0.2464, 0.7536, 0.7500)
Rb (0.7536, 0.2464, 0.2500)
Ho (0.0000, 0.0000, 0.0000)
Ho (0.0000, 0.0000, 0.5000)
Pt (0.4914, 0.5086, 0.2500)
Pt (0.5086, 0.4914, 0.7500)
S (0.0804, 0.9196, 0.2500)
S (0.3875, 0.6125, 0.0749)
S (0.3875, 0.6125, 0.4251)
S (0.6125, 0.3875, 0.5749)
S (0.6125, 0.3875, 0.9251)
S (0.9196, 0.0804, 0.7500)


RbHoPtSe3: relaxed, PBE-GGA.

a = 8.5009 Å, b = 8.5009 Å, c = 10.1523 Å
α = 90.00°, β = 90.00°, γ = 152.38°
Element x y z (fractional)
Rb (0.2454, 0.7546, 0.7500)
Rb (0.7546, 0.2454, 0.2500)
Ho (0.0000, 0.0000, 0.0000)
Ho (0.0000, 0.0000, 0.5000)
Pt (0.4910, 0.5090, 0.2500)
Pt (0.5090, 0.4910, 0.7500)
Se (0.0850, 0.9150, 0.2500)
Se (0.3850, 0.6150, 0.0729)
Se (0.3850, 0.6150, 0.4271)
Se (0.6150, 0.3850, 0.5729)
Se (0.6150, 0.3850, 0.9271)
Se (0.9150, 0.0850, 0.7500)


RbHoTe3Pt: relaxed, PBE-GGA.

a = 9.2827 Å, b = 9.2827 Å, c = 10.5041 Å
α = 90.00°, β = 90.00°, γ = 153.55°
Element x y z (fractional)
Rb (0.2473, 0.7527, 0.7500)
Rb (0.7527, 0.2473, 0.2500)
Ho (0.0000, 0.0000, 0.0000)
Ho (0.0000, 0.0000, 0.5000)
Te (0.0858, 0.9142, 0.2500)
Te (0.3848, 0.6152, 0.0782)
Te (0.3848, 0.6152, 0.4218)
Te (0.6152, 0.3848, 0.5782)
Te (0.6152, 0.3848, 0.9218)
Te (0.9142, 0.0858, 0.7500)
Pt (0.4932, 0.5068, 0.2500)
Pt (0.5068, 0.4932, 0.7500)


HoSi4Pt3: relaxed, PBE-GGA.

a = 5.5046 Å, b = 3.8261 Å, c = 6.5529 Å
α = 90.00°, β = 101.71°, γ = 90.00°
Element x y z (fractional)
Ho (0.0000, 0.0000, 0.0000)
Si (0.1336, 0.5000, 0.6916)
Si (0.5010, 0.0000, 0.2378)
Si (0.5091, 0.0000, 0.7061)
Si (0.8475, 0.5000, 0.2874)
Pt (0.2977, 0.5000, 0.3741)
Pt (0.5090, 0.5000, 0.9738)
Pt (0.8614, 0.0000, 0.5250)


Ho2SiPt: relaxed, PBE-GGA.

a = 5.6921 Å, b = 3.9696 Å, c = 7.8403 Å
α = 90.00°, β = 92.34°, γ = 90.00°
Element x y z (fractional)
Ho (0.1243, 0.2500, 0.3294)
Ho (0.3708, 0.2500, 0.8120)
Ho (0.6292, 0.7500, 0.1880)
Ho (0.8757, 0.7500, 0.6706)
Si (0.1259, 0.7500, 0.0388)
Si (0.8741, 0.2500, 0.9612)
Pt (0.3431, 0.7500, 0.5488)
Pt (0.6569, 0.2500, 0.4512)


HoSiPt: relaxed, PBE-GGA.

a = 7.7992 Å, b = 7.7992 Å, c = 3.2317 Å
α = 90.00°, β = 90.00°, γ = 120.00°
Element x y z (fractional)
Ho (0.0000, 0.2926, 0.0000)
Ho (0.2926, 0.0000, 0.0000)
Ho (0.7074, 0.7074, 0.0000)
Si (0.0000, 0.0000, 0.5000)
Si (0.3333, 0.6667, 0.0000)
Si (0.6667, 0.3333, 0.0000)
Pt (0.0000, 0.6420, 0.5000)
Pt (0.3580, 0.3580, 0.5000)
Pt (0.6420, 0.0000, 0.5000)


Ho4Si3Pt: relaxed, PBE-GGA.

a = 5.7049 Å, b = 3.9597 Å, c = 7.6998 Å
α = 90.00°, β = 90.81°, γ = 90.00°
Element x y z (fractional)
Ho (0.0000, 0.0000, 0.0000)
Ho (0.2384, 0.5000, 0.6584)
Ho (0.4902, 0.5000, 0.1357)
Ho (0.7316, 0.0000, 0.5031)
Si (0.2384, 0.0000, 0.3675)
Si (0.7506, 0.5000, 0.7835)
Si (0.9867, 0.5000, 0.2881)
Pt (0.4815, 0.0000, 0.8655)


Ho2SiPt: relaxed, PBE-GGA.

a = 4.2383 Å, b = 7.3226 Å, c = 5.6919 Å
α = 90.00°, β = 90.00°, γ = 90.00°
Element x y z (fractional)
Ho (0.0000, 0.0626, 0.0000)
Ho (0.0000, 0.5834, 0.2320)
Ho (0.5000, 0.4166, 0.7320)
Ho (0.5000, 0.9374, 0.5000)
Si (0.0000, 0.7022, 0.7253)
Si (0.5000, 0.2978, 0.2253)
Pt (0.0000, 0.2116, 0.4974)
Pt (0.5000, 0.7884, 0.9974)


no.,magnetic moment (μB per cell),VASP energy (eV per atom)
1,0.0,-4.59
2,0.0,-6.42
3,0.1,-4.78
4,0.0,-3.89
5,0.0,-5.17
6,0.0,-4.80
7,0.0,-4.44
8,0.0,-6.15
9,0.0,-6.15
10,0.0,-5.91
11,0.0,-5.99
12,0.0,-6.19